No. 1
Density functional theory data (PBE-GGA) for an optimized crystal structure of CrTeW.

a = 3.1721 Å, b = 3.1721 Å, c = 6.2139 Å
α = 90.00°, β = 90.00°, γ = 120.00°
With the nearest neighbours (Å) after each atom.
Positions (direct):
Cr  0.0000  0.0000  0.9667  3 W 2.42
W  0.6667  0.3333  0.7110  3 Cr 2.42
Te  0.3333  0.6667  0.3223  3 Cr 2.87, 3 W 3.03, 6 Te 3.17

Properties
space group = No. 156
total moment = 0.000 μB/f.u.
density of states at the Fermi level = 1.84 states/eV/cell
distance to the lowest polymorph of the same formula = 159 meV per atom
calculated volume = 18.05 Å³ per atom
formation energy (no corrections) = 1.7 eV/f.u.

=====

No. 2
Density functional theory data (PBE-GGA) for an optimized crystal structure of BaScTe2.

a = 7.4545 Å, b = 7.4545 Å, c = 8.3918 Å
α = 63.63°, β = 63.63°, γ = 90.00°
With the nearest neighbours (Å) after each atom.
Positions (direct):
Ba  0.0000  0.0000  0.0000  4 Te 3.40
Sc  0.2500  0.7500  0.5000  4 Te 2.84
Te  0.3750  0.4380  0.7500  2 Sc 2.84
Te  0.1880  0.6250  0.2500  2 Sc 2.84
Te  0.8750  0.8120  0.7500  2 Sc 2.84
Ba  0.7500  0.2500  0.5000  4 Te 3.40
Sc  0.5000  0.5000  0.0000  4 Te 2.84
Te  0.5620  0.1250  0.2500  2 Sc 2.84

Properties
space group = No. 122
total moment = 1.000 μB/f.u.
density of states at the Fermi level = 6.37 states/eV/cell
distance to the lowest polymorph of the same formula = 279 meV per atom
calculated volume = 45.36 Å³ per atom
formation energy (no corrections) = -4.4 eV/f.u.